Material: FeW
Method: DFT, PBE-GGA
State: optimized geometry

Cell lengths 4.7568, 4.7568, 4.7568 Å; angles 134.68, 134.68, 66.02 degrees
Last column: nearest neighbours and their distance in Å.
Fractional positions:
Fe 0.3750 0.6250 0.7500  8 W 2.59-2.71, 4 Fe 2.71
Fe 0.6250 0.3750 0.2500  8 W 2.59-2.71, 4 Fe 2.71
W 0.1250 0.8750 0.2500  8 Fe 2.59-2.71, 4 W 2.71
W 0.8750 0.1250 0.7500  8 Fe 2.59-2.71, 4 W 2.71

Space-group type = No. 141
Size of the total moment = 0.00 μB/f.u.
ρ = 14.858 Mg/m³
Calculated volume = 53.6 Å³/cell
N(E_F) = 0.94 states/eV/atom
Calculated total energy = -10.47 eV per atom

Material: TeSeBr
Method: DFT, PBE-GGA
State: optimized geometry

Cell lengths 5.0179, 5.0179, 5.0179 Å; angles 60.00, 60.00, 60.00 degrees
Last column: nearest neighbours and their distance in Å.
Fractional positions:
Te 0.0000 0.0000 0.0000  4 Se 3.07, 4 Br 3.07
Se 0.2500 0.2500 0.2500  4 Te 3.07
Br 0.7500 0.7500 0.7500  4 Te 3.07

Space-group type = No. 216
Size of the total moment = 0.00 μB/f.u.
Uncorrected formation energy = 0.27 eV per atom
ρ = 5.324 Mg/m³
Calculated volume = 89.3 Å³/cell
N(E_F) = 0.37 states/eV/atom
Calculated total energy = -2.50 eV per atom

Material: NpReP2Os
Method: DFT, PBE-GGA
State: optimized geometry

Cell lengths 5.6057, 5.6057, 5.6057 Å; angles 136.90, 136.90, 62.59 degrees
Last column: nearest neighbours and their distance in Å.
Fractional positions:
Np 0.0000 0.0000 0.0000  8 P 3.15, 4 Re 3.16, 4 Os 3.16
Re 0.2500 0.7500 0.5000  4 P 2.38
P 0.3739 0.3739 0.0000  2 Re 2.38, 2 Os 2.38, 1 P 2.42
P 0.6261 0.6261 0.0000  2 Re 2.38, 2 Os 2.38, 1 P 2.42
Os 0.7500 0.2500 0.5000  4 P 2.38

Space-group type = No. 119
Size of the total moment = 3.48 μB/f.u.
ρ = 13.806 Mg/m³
Calculated volume = 81.2 Å³/cell
N(E_F) = 2.44 states/eV/atom
Calculated total energy = -9.90 eV per atom

Material: Nd2CdAs3Pt4
Method: DFT, PBE-GGA
State: optimized geometry

Cell lengths 4.3078, 4.3078, 10.9099 Å; angles 90.00, 90.00, 90.00 degrees
Last column: nearest neighbours and their distance in Å.
Fractional positions:
Nd 0.0000 0.5000 0.2314  4 As 3.24, 8 Pt 3.31-3.32
Nd 0.5000 0.0000 0.7686  4 As 3.24, 8 Pt 3.31-3.32
Cd 0.0000 0.0000 0.5000  4 Pt 2.70
As 0.0000 0.5000 0.8706  5 Pt 2.41-2.58
As 0.5000 0.0000 0.1294  5 Pt 2.41-2.58
As 0.5000 0.5000 0.5000  4 Pt 2.70
Pt 0.0000 0.0000 0.0000  4 As 2.58
Pt 0.0000 0.5000 0.6500  1 As 2.41
Pt 0.5000 0.0000 0.3500  1 As 2.41
Pt 0.5000 0.5000 0.0000  4 As 2.58

Space-group type = No. 115
Size of the total moment = 0.00 μB/f.u.
ρ = 11.532 Mg/m³
Calculated volume = 202.5 Å³/cell
N(E_F) = 0.64 states/eV/atom
Calculated total energy = -5.65 eV per atom

Material: TmBi2P2Pt7
Method: DFT, PBE-GGA
State: optimized geometry

Cell lengths 15.0649, 15.0649, 15.0649 Å; angles 164.69, 164.69, 21.72 degrees
Last column: nearest neighbours and their distance in Å.
Fractional positions:
Tm 0.0000 0.0000 0.0000  12 Pt 2.84-2.94
Bi 0.2101 0.2101 0.0000  5 Pt 2.85-2.88
Bi 0.7899 0.7899 0.0000  5 Pt 2.85-2.88
P 0.3839 0.3839 0.0000  5 Pt 2.29-2.39
P 0.6161 0.6161 0.0000  5 Pt 2.29-2.39
Pt 0.0725 0.5725 0.5000  2 P 2.39
Pt 0.3065 0.3065 0.0000  1 P 2.29
Pt 0.4275 0.9275 0.5000  2 P 2.39
Pt 0.5000 0.5000 0.0000  4 Tm 2.84, 8 Pt 2.94
Pt 0.5725 0.0725 0.5000  2 P 2.39
Pt 0.6935 0.6935 0.0000  1 P 2.29
Pt 0.9275 0.4275 0.5000  2 P 2.39

Space-group type = No. 139
Size of the total moment = 0.00 μB/f.u.
ρ = 14.038 Mg/m³
Calculated volume = 238.3 Å³/cell
N(E_F) = 0.22 states/eV/atom
Calculated total energy = -6.13 eV per atom

Material: CrBi3Pd12
Method: DFT, PBE-GGA
State: optimized geometry

Cell lengths 4.0849, 4.0849, 16.3337 Å; angles 90.00, 90.00, 90.00 degrees
Last column: nearest neighbours and their distance in Å.
Fractional positions:
Cr 0.0000 0.0000 0.0000  12 Pd 2.78-2.89
Bi 0.0000 0.0000 0.2378  12 Pd 2.86-3.00
Bi 0.0000 0.0000 0.5000  12 Pd 2.89-2.92
Bi 0.0000 0.0000 0.7622  12 Pd 2.86-3.00
Pd 0.0000 0.5000 0.1150  2 Cr 2.78, 8 Pd 2.78-2.98, 2 Bi 2.86
Pd 0.0000 0.5000 0.3723  8 Pd 2.88-2.92, 4 Bi 2.92-3.00
Pd 0.0000 0.5000 0.6277  8 Pd 2.88-2.92, 4 Bi 2.92-3.00
Pd 0.0000 0.5000 0.8850  2 Cr 2.78, 8 Pd 2.78-2.98, 2 Bi 2.86
Pd 0.5000 0.0000 0.1150  2 Cr 2.78, 8 Pd 2.78-2.98, 2 Bi 2.86
Pd 0.5000 0.0000 0.3723  8 Pd 2.88-2.92, 4 Bi 2.92-3.00
Pd 0.5000 0.0000 0.6277  8 Pd 2.88-2.92, 4 Bi 2.92-3.00
Pd 0.5000 0.0000 0.8850  2 Cr 2.78, 8 Pd 2.78-2.98, 2 Bi 2.86
Pd 0.5000 0.5000 0.0000  8 Pd 2.78, 4 Cr 2.89
Pd 0.5000 0.5000 0.2480  8 Pd 2.88-2.98, 4 Bi 2.89
Pd 0.5000 0.5000 0.5000  4 Bi 2.89, 8 Pd 2.92
Pd 0.5000 0.5000 0.7520  8 Pd 2.88-2.98, 4 Bi 2.89

Space-group type = No. 123
Size of the total moment = 3.88 μB/f.u.
ρ = 11.917 Mg/m³
Calculated volume = 272.5 Å³/cell
N(E_F) = 0.61 states/eV/atom
Calculated total energy = -5.42 eV per atom

Material: PmSm3Pd
Method: DFT, PBE-GGA
State: optimized geometry

Cell lengths 7.4757, 7.4757, 8.3304 Å; angles 123.71, 123.71, 71.84 degrees
Last column: nearest neighbours and their distance in Å.
Fractional positions:
Pm 0.0572 0.0572 0.2708  1 Pd 2.80
Pm 0.9428 0.9428 0.7292  1 Pd 2.80
Sm 0.0488 0.4399 0.7797  1 Pd 2.78
Sm 0.4399 0.0488 0.7797  1 Pd 2.78
Sm 0.4475 0.4475 0.6646  1 Pd 2.78
Sm 0.5525 0.5525 0.3354  1 Pd 2.78
Sm 0.5601 0.9512 0.2203  1 Pd 2.78
Sm 0.9512 0.5601 0.2203  1 Pd 2.78
Pd 0.2490 0.2490 0.1222  3 Sm 2.78, 1 Pm 2.80
Pd 0.7510 0.7510 0.8778  3 Sm 2.78, 1 Pm 2.80

Space-group type = No. 12
Size of the total moment = 0.00 μB/f.u.
ρ = 7.241 Mg/m³
Calculated volume = 322.2 Å³/cell
N(E_F) = 1.37 states/eV/atom
Calculated total energy = -5.05 eV per atom

Material: Ho2TiAl2Pd5
Method: DFT, PBE-GGA
State: optimized geometry

Cell lengths 10.1814, 10.1814, 3.4590 Å; angles 90.00, 90.00, 90.00 degrees
Last column: nearest neighbours and their distance in Å.
Fractional positions:
Ho 0.1747 0.3253 0.0000  3 Al 2.86-3.11, 6 Pd 3.05-3.14
Ho 0.3253 0.8253 0.0000  3 Al 2.86-3.11, 6 Pd 3.05-3.14
Ho 0.6747 0.1747 0.0000  3 Al 2.86-3.11, 6 Pd 3.05-3.14
Ho 0.8253 0.6747 0.0000  3 Al 2.86-3.11, 6 Pd 3.05-3.14
Ti 0.0000 0.0000 0.0000  8 Pd 2.73
Ti 0.5000 0.5000 0.0000  8 Pd 2.73
Al 0.1266 0.6266 0.0000  6 Pd 2.51-2.58
Al 0.3734 0.1266 0.0000  6 Pd 2.51-2.58
Al 0.6266 0.8734 0.0000  6 Pd 2.51-2.58
Al 0.8734 0.3734 0.0000  6 Pd 2.51-2.58
Pd 0.0000 0.5000 0.5000  4 Al 2.51
Pd 0.0509 0.7993 0.5000  2 Al 2.58, 2 Ti 2.73
Pd 0.2007 0.0509 0.5000  2 Al 2.58, 2 Ti 2.73
Pd 0.2993 0.5509 0.5000  2 Al 2.58, 2 Ti 2.73
Pd 0.4491 0.2993 0.5000  2 Al 2.58, 2 Ti 2.73
Pd 0.5000 0.0000 0.5000  4 Al 2.51
Pd 0.5509 0.7007 0.5000  2 Al 2.58, 2 Ti 2.73
Pd 0.7007 0.4491 0.5000  2 Al 2.58, 2 Ti 2.73
Pd 0.7993 0.9491 0.5000  2 Al 2.58, 2 Ti 2.73
Pd 0.9491 0.2007 0.5000  2 Al 2.58, 2 Ti 2.73

Space-group type = No. 127
Size of the total moment = 0.00 μB/f.u.
ρ = 8.927 Mg/m³
Calculated volume = 358.6 Å³/cell
N(E_F) = 0.60 states/eV/atom
Calculated total energy = -5.82 eV per atom

Material: RbInN2
Method: DFT, PBE-GGA
State: optimized geometry

Cell lengths 7.6489, 7.6489, 7.6489 Å; angles 33.75, 33.75, 33.75 degrees
Last column: nearest neighbours and their distance in Å.
Fractional positions:
Rb 0.0000 0.0000 0.0000  6 N 3.05
In 0.5000 0.5000 0.5000  2 N 1.95
N 0.4096 0.4096 0.4096  1 In 1.95
N 0.5904 0.5904 0.5904  1 In 1.95

Space-group type = No. 166
Size of the total moment = 2.00 μB/f.u.
Uncorrected formation energy = 1.23 eV per atom
ρ = 3.081 Mg/m³
Calculated volume = 123.1 Å³/cell
N(E_F) = 0.19 states/eV/atom
Calculated total energy = -3.86 eV per atom

Material: KLiSi2
Method: DFT, PBE-GGA
State: optimized geometry

Cell lengths 5.7990, 5.7990, 5.7990 Å; angles 139.41, 139.41, 58.75 degrees
Last column: nearest neighbours and their distance in Å.
Fractional positions:
K 0.0000 0.0000 0.0000  4 Li 2.84
Li 0.5000 0.5000 0.0000  4 K 2.84
Si 0.2500 0.7500 0.5000  4 Si 2.84
Si 0.7500 0.2500 0.5000  4 Si 2.84

Space-group type = No. 139
Size of the total moment = 0.00 μB/f.u.
Uncorrected formation energy = 0.44 eV per atom
ρ = 2.075 Mg/m³
Calculated volume = 81.8 Å³/cell
N(E_F) = 0.41 states/eV/atom
Calculated total energy = -3.02 eV per atom

Material: InHgRh2
Method: DFT, PBE-GGA
State: optimized geometry

Cell lengths 4.6205, 4.6205, 4.6205 Å; angles 60.00, 60.00, 60.00 degrees
Last column: nearest neighbours and their distance in Å.
Fractional positions:
In 0.0000 0.0000 0.0000  4 Rh 2.83, 4 Hg 2.83
Hg 0.2500 0.2500 0.2500  4 In 2.83, 4 Rh 2.83
Rh 0.5000 0.5000 0.5000  4 Rh 2.83, 4 Hg 2.83
Rh 0.7500 0.7500 0.7500  4 In 2.83, 4 Rh 2.83

Space-group type = No. 216
Size of the total moment = 0.10 μB/f.u.
ρ = 12.409 Mg/m³
Calculated volume = 69.7 Å³/cell
N(E_F) = 1.80 states/eV/atom
Calculated total energy = -4.31 eV per atom

Material: Ho2PuSnC
Method: DFT, PBE-GGA
State: optimized geometry

Cell lengths 4.9074, 4.9074, 4.7820 Å; angles 90.00, 90.00, 90.00 degrees
Last column: nearest neighbours and their distance in Å.
Fractional positions:
Ho 0.0000 0.5000 0.0000  2 C 2.45
Ho 0.5000 0.0000 0.0000  2 C 2.45
Pu 0.0000 0.0000 0.5000  2 C 2.39
Sn 0.5000 0.5000 0.5000  8 Ho 3.43, 4 Pu 3.47
C 0.0000 0.0000 0.0000  2 Pu 2.39, 4 Ho 2.45

Space-group type = No. 123
Size of the total moment = 5.75 μB/f.u.
ρ = 10.159 Mg/m³
Calculated volume = 115.2 Å³/cell
N(E_F) = 1.66 states/eV/atom
Calculated total energy = -7.83 eV per atom